EuErCdIr | PBE | optimized geometry

Values from the calculation:
SG: No. 216
Calculated formation energy in eV/f.u.: -1.5
Raw total energy in eV/f.u.: -26.13
Magnetic moment in μB per formula unit: 6.86
Calculated density in Mg/m³: 11.147

Unit cell a=5.0843 b=5.0843 c=5.0843 alpha=60.00 beta=60.00 gamma=60.00
With the nearest neighbours (Å) after each atom.
Sites, in units of the cell vectors:
Er: 0.5000 0.5000 0.5000  4 Cd 3.11, 4 Ir 3.11
Ir: 0.2500 0.2500 0.2500  4 Er 3.11, 4 Eu 3.11
Cd: 0.7500 0.7500 0.7500  4 Eu 3.11, 4 Er 3.11
Eu: 0.0000 0.0000 0.0000  4 Ir 3.11, 4 Cd 3.11

=====

EuErMgCd | PBE | optimized geometry

Values from the calculation:
SG: No. 216
Calculated formation energy in eV/f.u.: -0.7
Raw total energy in eV/f.u.: -18.01
Magnetic moment in μB per formula unit: 7.15
Calculated density in Mg/m³: 6.692

Unit cell a=5.4287 b=5.4287 c=5.4287 alpha=60.00 beta=60.00 gamma=60.00
With the nearest neighbours (Å) after each atom.
Sites, in units of the cell vectors:
Cd: 0.7500 0.7500 0.7500  4 Er 3.32, 4 Eu 3.32
Mg: 0.2500 0.2500 0.2500  4 Eu 3.32, 4 Er 3.32
Eu: 0.5000 0.5000 0.5000  4 Cd 3.32, 4 Mg 3.32
Er: 0.0000 0.0000 0.0000  4 Cd 3.32, 4 Mg 3.32

=====

NaEuErCd | PBE | optimized geometry

Values from the calculation:
SG: No. 216
Calculated formation energy in eV/f.u.: 0.1
Raw total energy in eV/f.u.: -17.01
Magnetic moment in μB per formula unit: 7.32
Calculated density in Mg/m³: 6.294

Unit cell a=5.5355 b=5.5355 c=5.5355 alpha=60.00 beta=60.00 gamma=60.00
With the nearest neighbours (Å) after each atom.
Sites, in units of the cell vectors:
Cd: 0.2500 0.2500 0.2500  4 Er 3.39, 4 Eu 3.39
Er: 0.0000 0.0000 0.0000  4 Na 3.39, 4 Cd 3.39
Eu: 0.5000 0.5000 0.5000  4 Cd 3.39, 4 Na 3.39
Na: 0.7500 0.7500 0.7500  4 Er 3.39, 4 Eu 3.39

=====

NdEuErCd | PBE | optimized geometry

Values from the calculation:
SG: No. 216
Calculated formation energy in eV/f.u.: 0.0
Raw total energy in eV/f.u.: -20.55
Magnetic moment in μB per formula unit: 7.23
Calculated density in Mg/m³: 7.870

Unit cell a=5.5595 b=5.5595 c=5.5595 alpha=60.00 beta=60.00 gamma=60.00
With the nearest neighbours (Å) after each atom.
Sites, in units of the cell vectors:
Nd: 0.5000 0.5000 0.5000  4 Cd 3.40, 4 Eu 3.40
Er: 0.0000 0.0000 0.0000  4 Eu 3.40, 4 Cd 3.40
Eu: 0.2500 0.2500 0.2500  4 Er 3.40, 4 Nd 3.40
Cd: 0.7500 0.7500 0.7500  4 Er 3.40, 4 Nd 3.40

=====

EuErCdNi | PBE | optimized geometry

Values from the calculation:
SG: No. 216
Calculated formation energy in eV/f.u.: -0.6
Raw total energy in eV/f.u.: -22.15
Magnetic moment in μB per formula unit: 6.97
Calculated density in Mg/m³: 8.558

Unit cell a=5.1242 b=5.1242 c=5.1242 alpha=60.00 beta=60.00 gamma=60.00
With the nearest neighbours (Å) after each atom.
Sites, in units of the cell vectors:
Cd: 0.7500 0.7500 0.7500  4 Er 3.14, 4 Eu 3.14
Ni: 0.2500 0.2500 0.2500  4 Eu 3.14, 4 Er 3.14
Eu: 0.5000 0.5000 0.5000  4 Cd 3.14, 4 Ni 3.14
Er: 0.0000 0.0000 0.0000  4 Ni 3.14, 4 Cd 3.14

=====

PmEuErCd | PBE | optimized geometry

Values from the calculation:
SG: No. 216
Calculated formation energy in eV/f.u.: 0.2
Raw total energy in eV/f.u.: -20.34
Magnetic moment in μB per formula unit: 7.38
Calculated density in Mg/m³: 7.800

Unit cell a=5.5786 b=5.5786 c=5.5786 alpha=60.00 beta=60.00 gamma=60.00
With the nearest neighbours (Å) after each atom.
Sites, in units of the cell vectors:
Pm: 0.7500 0.7500 0.7500  4 Eu 3.42, 4 Er 3.42
Eu: 0.5000 0.5000 0.5000  4 Pm 3.42, 4 Cd 3.42
Er: 0.0000 0.0000 0.0000  4 Cd 3.42, 4 Pm 3.42
Cd: 0.2500 0.2500 0.2500  4 Eu 3.42, 4 Er 3.42

=====

PrEuErCd | PBE | optimized geometry

Values from the calculation:
SG: No. 216
Calculated formation energy in eV/f.u.: 0.0
Raw total energy in eV/f.u.: -20.57
Magnetic moment in μB per formula unit: 7.27
Calculated density in Mg/m³: 7.750

Unit cell a=5.5772 b=5.5772 c=5.5772 alpha=60.00 beta=60.00 gamma=60.00
With the nearest neighbours (Å) after each atom.
Sites, in units of the cell vectors:
Eu: 0.2500 0.2500 0.2500  4 Er 3.42, 4 Pr 3.42
Er: 0.5000 0.5000 0.5000  4 Cd 3.42, 4 Eu 3.42
Cd: 0.7500 0.7500 0.7500  4 Pr 3.42, 4 Er 3.42
Pr: 0.0000 0.0000 0.0000  4 Eu 3.42, 4 Cd 3.42

=====

EuErCdRh | PBE | optimized geometry

Values from the calculation:
SG: No. 216
Calculated formation energy in eV/f.u.: -1.5
Raw total energy in eV/f.u.: -24.65
Magnetic moment in μB per formula unit: 6.91
Calculated density in Mg/m³: 9.393

Unit cell a=5.1127 b=5.1127 c=5.1127 alpha=60.00 beta=60.00 gamma=60.00
With the nearest neighbours (Å) after each atom.
Sites, in units of the cell vectors:
Er: 0.0000 0.0000 0.0000  4 Cd 3.13, 4 Rh 3.13
Eu: 0.5000 0.5000 0.5000  4 Cd 3.13, 4 Rh 3.13
Rh: 0.2500 0.2500 0.2500  4 Er 3.13, 4 Eu 3.13
Cd: 0.7500 0.7500 0.7500  4 Eu 3.13, 4 Er 3.13